VASP calculation (PBE) on AlHPdW2 after structural relaxation.

## Properties
As for the volume: 13.0 Å³ per atom. The calculation puts the uncorrected energy at -7.599 eV per atom. Its space-group type is P4/mmm, No. 123. Its density is 12.833 Mg/m³.

Geometry as extended XYZ:
```
5
Lattice="3.8221 0.0000 0.0000 0.0000 3.8221 0.0000 0.0000 0.0000 4.4472" Properties=species:S:1:pos:R:3 pbc="T T T"
Al 0.0000 0.0000 0.0000
H 1.9111 1.9111 2.2236
Pd 1.9111 1.9111 0.0000
W 0.0000 1.9111 2.2236
W 1.9111 0.0000 2.2236
```



VASP calculation (PBE) on RbCaTlF6 after structural relaxation.

## Properties
As for the volume: 21.8 Å³ per atom. The calculation puts the uncorrected energy at -4.575 eV per atom. Its formation energy from raw total energies is -2.73 eV/atom. Its space-group type is Imma, No. 74. Its density is 3.761 Mg/m³.

Geometry as extended XYZ:
```
18
Lattice="-4.0169 4.1597 5.8643 4.0169 -4.1597 5.8643 4.0169 4.1597 -5.8643" Properties=species:S:1:pos:R:3 pbc="T T T"
Rb 0.0000 2.0798 0.7605
Rb 4.0169 2.0798 5.1038
Ca 2.0085 2.0798 -2.9321
Ca 2.0085 -2.0798 2.9321
Tl 4.0169 0.0000 0.0000
Tl 0.0000 0.0000 5.8643
F 2.3992 -0.4512 1.3791
F 5.6346 -0.4512 1.3791
F 4.0169 -2.0798 3.8555
F 4.0169 2.0798 0.8337
F 2.3992 3.7084 -1.3791
F 1.6177 -0.4512 4.4851
F 2.3992 4.6109 1.3791
F 1.6177 0.4512 7.2434
F 0.0000 2.0798 5.0305
F 0.0000 6.2395 2.0088
F -1.6177 4.6109 4.4851
F 1.6177 4.6109 4.4851
```